No. 1
# KThCd4 (PBE, optimized geometry)
data_KThCd4
_chemical_formula_sum 'K4 Th4 Cd16'
_symmetry_space_group_name_H-M 'F -4 3 m'
_symmetry_Int_Tables_number 216
_symmetry_space_group_name_Hall 'F -4 2 3'
_cell_length_a 8.612
_cell_length_b 8.612
_cell_length_c 8.612
_cell_angle_alpha 90.00
_cell_angle_beta 90.00
_cell_angle_gamma 90.00
loop_
_atom_site_label
_atom_site_fract_x
_atom_site_fract_y
_atom_site_fract_z
K1 0.000 0.000 0.000
Th1 0.250 0.250 0.750
Cd1 0.124 0.124 0.376
# * formation energy: 45 meV/atom


No. 2
# KThCd17 (PBE, optimized geometry)
data_KThCd17
_chemical_formula_sum 'K3 Th3 Cd51'
_symmetry_space_group_name_H-M 'R 3 m'
_symmetry_Int_Tables_number 160
_symmetry_space_group_name_Hall 'R 3 -2"'
_cell_length_a 10.2112
_cell_length_b 10.2112
_cell_length_c 15.1358
_cell_angle_alpha 90.00
_cell_angle_beta 90.00
_cell_angle_gamma 120.00
loop_
_atom_site_label
_atom_site_fract_x
_atom_site_fract_y
_atom_site_fract_z
K1 0.0000 0.0000 0.0000
Th1 0.0000 0.0000 0.3325
Cd1 0.0000 0.0000 0.5577
Cd2 0.0000 0.0000 0.7557
Cd3 0.0364 0.3677 0.3300
Cd4 0.1734 0.3468 0.1407
Cd5 0.1770 0.3540 0.5005
Cd6 0.1874 0.3748 0.8475
# * formation energy: -65 meV/atom